TlIr4Cl | PBE | optimized geometry

Results
The value obtained for the raw formation energy is 0.96 eV/atom. Its symmetry is F-43m, No. 216. As for the total energy: -5.65 eV per atom. For the size of the total moment, the calculation gives 4.42 μB/f.u.

Lattice parameters (Å, degrees): 5.366 5.366 5.366 60.00 60.00 60.00
Site moments in Bohr magnetons follow the coordinates.
Fractional coordinates of all 6 atoms:
Tl: 0.750 0.750 0.750  0.04
Ir: 0.875 0.375 0.375  0.97
Ir: 0.375 0.375 0.875  0.97
Ir: 0.375 0.875 0.375  0.97
Ir: 0.375 0.375 0.375  0.97
Cl: 0.000 0.000 0.000  0.35

TiNiOs | PBE | optimized geometry

Results
As for the excess energy over the best structure of this formula in the dataset: 0.170 eV/atom. Its symmetry is C2/m, No. 12. Its calculated formation energy is -265 meV per atom. As for the total energy: -8.57 eV per atom. For the size of the total moment, the calculation gives 0.00 μB/f.u.

Lattice parameters (Å, degrees): 4.595 8.257 4.695 90.00 112.63 90.00
Fractional coordinates of all 12 atoms:
Ni: 0.000 0.500 0.000
Ni: 0.000 0.000 0.500
Ni: 0.500 0.500 0.500
Ni: 0.500 0.000 0.000
Os: 0.000 0.843 0.000
Os: 0.000 0.157 0.000
Os: 0.000 0.343 0.500
Os: 0.000 0.657 0.500
Ti: 0.500 0.167 0.500
Ti: 0.500 0.833 0.500
Ti: 0.500 0.667 0.000
Ti: 0.500 0.333 0.000

BaNa5Sr5 | PBE | optimized geometry

Results
Its symmetry is P-6m2, No. 187. Its calculated formation energy is 43 meV per atom. As for the total energy: -1.50 eV per atom. For the size of the total moment, the calculation gives 0.00 μB/f.u.

Lattice parameters (Å, degrees): 6.936 6.936 12.509 90.00 90.00 120.00
Fractional coordinates of all 11 atoms:
Ba: 0.333 0.667 0.000
Na: 0.345 0.172 0.500
Na: 0.000 0.000 0.278
Na: 0.828 0.655 0.500
Na: 0.828 0.172 0.500
Na: 0.000 0.000 0.722
Sr: 0.667 0.333 0.177
Sr: 0.667 0.333 0.823
Sr: 0.333 0.667 0.329
Sr: 0.333 0.667 0.671
Sr: 0.000 0.000 0.000

DyPuIr2 | PBE | optimized geometry

Results
Its symmetry is P2/c, No. 13. Its calculated formation energy is -635 meV per atom. As for the total energy: -9.80 eV per atom. For the size of the total moment, the calculation gives 4.58 μB/f.u.

Lattice parameters (Å, degrees): 5.613 5.624 11.146 90.00 104.48 90.00
Site moments in Bohr magnetons follow the coordinates.
Fractional coordinates of all 16 atoms:
Dy: 0.551 0.877 0.354  0.05
Dy: 0.449 0.123 0.646  0.05
Dy: 0.949 0.877 0.146  0.05
Dy: 0.051 0.123 0.854  0.05
Pu: 0.945 0.623 0.642  4.82
Pu: 0.055 0.377 0.358  4.82
Pu: 0.555 0.623 0.858  4.82
Pu: 0.445 0.377 0.142  4.82
Ir: 0.923 0.378 0.093  -0.30
Ir: 0.077 0.622 0.907  -0.30
Ir: 0.577 0.378 0.407  -0.30
Ir: 0.423 0.622 0.593  -0.30
Ir: 0.584 0.128 0.916  -0.21
Ir: 0.416 0.872 0.084  -0.21
Ir: 0.916 0.128 0.584  -0.21
Ir: 0.084 0.872 0.416  -0.21

Number 1 is which compound?
TlIr4Cl

size of the total moment of number 4 (DyPuIr2)?
4.58 μB/f.u.